A plane-wave DFT calculation with PBE-GGA was carried out for SbAs after structural relaxation.

Lattice parameters (Å, degrees): 3.548 5.160 5.088 90.00 90.00 90.00
Space group Cmmm (No. 65)
One atom of each set of equivalent atoms:
1 Sb 0.000 0.000 0.000 [2 per cell]
2 As 0.000 0.500 0.500 [2 per cell]

Calculated values
Its size of the total moment is 0.000 μB per formula unit. For the density of states at the Fermi level, the calculation gives 0.84 states/eV per atom. The formation energy (no corrections) comes out at 0.39 eV/atom.